Cs2YTcF | PBE | optimized geometry

Cell lengths 5.5415, 5.5415, 5.0045 Å; angles 90.00, 90.00, 90.00 degrees
With the nearest neighbours (Å) after each atom.
Element x y z (fractional)
Cs 0.0000 0.5000 0.0000  2 F 2.77
Cs 0.5000 0.0000 0.0000  2 F 2.77
Y 0.0000 0.0000 0.5000  2 F 2.50
Tc 0.5000 0.5000 0.5000  8 Cs 3.73, 4 Y 3.92
F 0.0000 0.0000 0.0000  2 Y 2.50, 4 Cs 2.77

As for the electronic total energy: -3.9237 eV/atom. The value obtained for the formation energy (no corrections) is 0.16 eV per atom.